[1]
Here is a relaxed structure of Pm5Ni2I2 from Alexandria via LeMat-Bulk. Energies are from PBE.

Lattice parameters (Å, degrees): 9.0370 9.0370 8.2675 90.00 90.00 49.67
Element x y z (fractional)
1 Pm 0.0000 0.0000 0.0000
2 Pm 0.0385 0.7425 0.6640
3 Pm 0.2425 0.5385 0.1640
4 Pm 0.2575 0.9615 0.6640
5 Pm 0.4615 0.7575 0.1640
6 Pm 0.5000 0.5000 0.5000
7 Pm 0.5385 0.2425 0.8360
8 Pm 0.7425 0.0385 0.3360
9 Pm 0.7575 0.4615 0.8360
10 Pm 0.9615 0.2575 0.3360
11 Ni 0.1411 0.8589 0.3819
12 Ni 0.3589 0.6411 0.8819
13 Ni 0.6411 0.3589 0.1181
14 Ni 0.8589 0.1411 0.6181
15 I 0.2078 0.2078 0.0000
16 I 0.2922 0.2922 0.5000
17 I 0.7078 0.7078 0.5000
18 I 0.7922 0.7922 0.0000

Properties
* calculated total energy: -4.789 eV per atom
* total magnetization: 0.0000 μB/atom
* formation energy (no corrections): -4.68 eV per formula unit

[2]
Here is a relaxed structure of Pm6Ni2RhI3 from Alexandria via LeMat-Bulk. Energies are from PBE.

Lattice parameters (Å, degrees): 7.1516 7.1516 8.3938 98.17 98.17 120.01
Element x y z (fractional)
1 Pm 0.1028 0.4390 0.8171
2 Pm 0.2248 0.2248 0.1830
3 Pm 0.4390 0.1028 0.8171
4 Pm 0.5610 0.8972 0.1829
5 Pm 0.7752 0.7752 0.8170
6 Pm 0.8972 0.5610 0.1829
7 Ni 0.1666 0.8334 0.0000
8 Ni 0.8334 0.1666 0.0000
9 Rh 0.5000 0.5000 0.0000
10 I 0.0000 0.0000 0.5000
11 I 0.3333 0.6667 0.5000
12 I 0.6667 0.3333 0.5000

Properties
* calculated total energy: -5.103 eV per atom
* total magnetization: 0.0000 μB/atom
* formation energy (no corrections): -9.16 eV per formula unit

[3]
Here is a relaxed structure of Pm8Ni3RhI4 from Alexandria via LeMat-Bulk. Energies are from PBE.

Lattice parameters (Å, degrees): 9.3476 9.3476 9.3476 52.38 52.38 52.38
Element x y z (fractional)
1 Pm 0.2245 0.7293 0.7293
2 Pm 0.2270 0.2270 0.2270
3 Pm 0.2707 0.2707 0.7755
4 Pm 0.2707 0.7755 0.2707
5 Pm 0.7293 0.2245 0.7293
6 Pm 0.7293 0.7293 0.2245
7 Pm 0.7730 0.7730 0.7730
8 Pm 0.7755 0.2707 0.2707
9 Ni 0.0000 0.0000 0.5000
10 Ni 0.0000 0.5000 0.0000
11 Ni 0.5000 0.0000 0.0000
12 Rh 0.5000 0.5000 0.5000
13 I 0.0000 0.0000 0.0000
14 I 0.0000 0.5000 0.5000
15 I 0.5000 0.0000 0.5000
16 I 0.5000 0.5000 0.0000

Properties
* calculated total energy: -5.046 eV per atom
* total magnetization: 0.0000 μB/atom
* formation energy (no corrections): -11.83 eV per formula unit

[4]
Here is a relaxed structure of Pm8Ni3RuI4 from Alexandria via LeMat-Bulk. Energies are from PBE.

Lattice parameters (Å, degrees): 8.2189 8.2189 9.3581 116.04 116.04 60.03
Element x y z (fractional)
1 Pm 0.2273 0.2273 0.6839
2 Pm 0.2272 0.7289 0.6839
3 Pm 0.2711 0.7728 0.3161
4 Pm 0.2735 0.2735 0.3194
5 Pm 0.7265 0.7265 0.6806
6 Pm 0.7289 0.2272 0.6839
7 Pm 0.7728 0.2711 0.3161
8 Pm 0.7727 0.7727 0.3161
9 Ni 0.0000 0.5000 0.5000
10 Ni 0.5000 0.0000 0.5000
11 Ni 0.5000 0.5000 0.5000
12 Ru 0.0000 0.0000 0.5000
13 I 0.0000 0.0000 0.0000
14 I 0.0000 0.5000 0.0000
15 I 0.5000 0.0000 0.0000
16 I 0.5000 0.5000 0.0000

Properties
* calculated total energy: -5.116 eV per atom
* total magnetization: 0.0000 μB/atom
* formation energy (no corrections): -11.02 eV per formula unit

[5]
Here is a relaxed structure of Pm8NiS3I4 from Alexandria via LeMat-Bulk. Energies are from PBE.

Lattice parameters (Å, degrees): 9.0529 9.0529 9.0529 54.45 54.45 54.45
Element x y z (fractional)
1 Pm 0.2285 0.2285 0.2285
2 Pm 0.2390 0.7241 0.7241
3 Pm 0.2759 0.2759 0.7610
4 Pm 0.2759 0.7610 0.2759
5 Pm 0.7241 0.2390 0.7241
6 Pm 0.7241 0.7241 0.2390
7 Pm 0.7610 0.2759 0.2759
8 Pm 0.7715 0.7715 0.7715
9 Ni 0.5000 0.5000 0.5000
10 S 0.0000 0.0000 0.5000
11 S 0.0000 0.5000 0.0000
12 S 0.5000 0.0000 0.0000
13 I 0.0000 0.0000 0.0000
14 I 0.0000 0.5000 0.5000
15 I 0.5000 0.0000 0.5000
16 I 0.5000 0.5000 0.0000

Properties
* calculated total energy: -5.158 eV per atom
* total magnetization: 0.0000 μB/atom
* formation energy (no corrections): -20.16 eV per formula unit

[6]
Here is a relaxed structure of Pm8Ni3SI4 from Alexandria via LeMat-Bulk. Energies are from PBE.

Lattice parameters (Å, degrees): 9.1969 9.1969 9.1969 53.53 53.53 53.53
Element x y z (fractional)
1 Pm 0.2202 0.7338 0.7338
2 Pm 0.2265 0.2265 0.2265
3 Pm 0.2662 0.2662 0.7798
4 Pm 0.2662 0.7798 0.2662
5 Pm 0.7338 0.2202 0.7338
6 Pm 0.7338 0.7338 0.2202
7 Pm 0.7735 0.7735 0.7735
8 Pm 0.7798 0.2662 0.2662
9 Ni 0.0000 0.0000 0.5000
10 Ni 0.0000 0.5000 0.0000
11 Ni 0.5000 0.0000 0.0000
12 S 0.5000 0.5000 0.5000
13 I 0.0000 0.0000 0.0000
14 I 0.0000 0.5000 0.5000
15 I 0.5000 0.0000 0.5000
16 I 0.5000 0.5000 0.0000

Properties
* calculated total energy: -4.958 eV per atom
* total magnetization: 0.0000 μB/atom
* formation energy (no corrections): -13.66 eV per formula unit

[7]
Here is a relaxed structure of Pm8Ni3SeI4 from Alexandria via LeMat-Bulk. Energies are from PBE.

Lattice parameters (Å, degrees): 9.2205 9.2205 9.2205 53.98 53.98 53.98
Element x y z (fractional)
1 Pm 0.2122 0.7386 0.7386
2 Pm 0.2265 0.2265 0.2265
3 Pm 0.2614 0.2614 0.7878
4 Pm 0.2614 0.7878 0.2614
5 Pm 0.7386 0.2122 0.7386
6 Pm 0.7386 0.7386 0.2122
7 Pm 0.7735 0.7735 0.7735
8 Pm 0.7878 0.2614 0.2614
9 Ni 0.0000 0.0000 0.5000
10 Ni 0.0000 0.5000 0.0000
11 Ni 0.5000 0.0000 0.0000
12 Se 0.5000 0.5000 0.5000
13 I 0.0000 0.0000 0.0000
14 I 0.0000 0.5000 0.5000
15 I 0.5000 0.0000 0.5000
16 I 0.5000 0.5000 0.0000

Properties
* calculated total energy: -4.892 eV per atom
* total magnetization: 0.0000 μB/atom
* formation energy (no corrections): -13.23 eV per formula unit

[8]
Here is a relaxed structure of Pm6Ni2SeI3 from Alexandria via LeMat-Bulk. Energies are from PBE.

Lattice parameters (Å, degrees): 7.3054 7.3054 8.1353 98.63 98.63 119.84
Element x y z (fractional)
1 Pm 0.0792 0.4371 0.8135
2 Pm 0.2039 0.2039 0.1856
3 Pm 0.4371 0.0792 0.8135
4 Pm 0.5629 0.9208 0.1865
5 Pm 0.7961 0.7961 0.8144
6 Pm 0.9208 0.5629 0.1865
7 Ni 0.1670 0.8330 0.0000
8 Ni 0.8330 0.1670 0.0000
9 Se 0.5000 0.5000 0.0000
10 I 0.0000 0.0000 0.5000
11 I 0.3388 0.6612 0.5000
12 I 0.6612 0.3388 0.5000

Properties
* calculated total energy: -4.932 eV per atom
* total magnetization: 0.0000 μB/atom
* formation energy (no corrections): -10.98 eV per formula unit

[9]
Here is a relaxed structure of Pm8SiNi3I4 from Alexandria via LeMat-Bulk. Energies are from PBE.

Lattice parameters (Å, degrees): 9.2612 9.2612 9.2612 53.58 53.58 53.58
Element x y z (fractional)
1 Pm 0.2189 0.7348 0.7348
2 Pm 0.2277 0.2277 0.2277
3 Pm 0.2652 0.2652 0.7811
4 Pm 0.2652 0.7811 0.2652
5 Pm 0.7348 0.2189 0.7348
6 Pm 0.7348 0.7348 0.2189
7 Pm 0.7723 0.7723 0.7723
8 Pm 0.7811 0.2652 0.2652
9 Si 0.5000 0.5000 0.5000
10 Ni 0.0000 0.0000 0.5000
11 Ni 0.0000 0.5000 0.0000
12 Ni 0.5000 0.0000 0.0000
13 I 0.0000 0.0000 0.0000
14 I 0.0000 0.5000 0.5000
15 I 0.5000 0.0000 0.5000
16 I 0.5000 0.5000 0.0000

Properties
* calculated total energy: -4.878 eV per atom
* total magnetization: 0.0000 μB/atom
* formation energy (no corrections): -11.08 eV per formula unit

[10]
Here is a relaxed structure of Pm8Si3NiI4 from Alexandria via LeMat-Bulk. Energies are from PBE.

Lattice parameters (Å, degrees): 8.5472 8.5472 9.1227 117.94 117.94 60.00
Element x y z (fractional)
1 Pm 0.2251 0.7426 0.6925
2 Pm 0.2282 0.2282 0.6951
3 Pm 0.2574 0.7749 0.3075
4 Pm 0.2668 0.2668 0.3010
5 Pm 0.7332 0.7332 0.6990
6 Pm 0.7426 0.2251 0.6925
7 Pm 0.7718 0.7718 0.3049
8 Pm 0.7749 0.2574 0.3075
9 Si 0.0000 0.5000 0.5000
10 Si 0.5000 0.0000 0.5000
11 Si 0.5000 0.5000 0.5000
12 Ni 0.0000 0.0000 0.5000
13 I 0.0000 0.0000 0.0000
14 I 0.0000 0.5000 0.0000
15 I 0.5000 0.0000 0.0000
16 I 0.5000 0.5000 0.0000

Properties
* calculated total energy: -5.035 eV per atom
* total magnetization: 0.0002 μB/atom
* formation energy (no corrections): -14.31 eV per formula unit